A plane-wave DFT calculation with PBE-GGA was carried out for Cs2NiTeSe4 after structural relaxation.

Magnetization   0.0 Bohr magnetons per cell
Formation energy without anion corrections   -0.454 eV per atom
DOS(E_F)   4.8 states/eV/f.u.

a = 5.239 Å, b = 8.899 Å, c = 11.862 Å
α = 86.27°, β = 77.24°, γ = 72.88°
Element x y z (fractional)
1 Cs 0.936 0.500 0.128
2 Cs 0.186 0.000 0.628
3 Cs 0.814 0.000 0.372
4 Cs 0.564 0.500 0.872
5 Se 0.324 0.804 0.139
6 Se 0.483 0.304 0.639
7 Se 0.426 0.696 0.361
8 Se 0.878 0.696 0.639
9 Se 0.267 0.196 0.861
10 Se 0.872 0.804 0.861
11 Se 0.212 0.304 0.361
12 Se 0.538 0.196 0.139
13 Te 0.000 0.000 0.000
14 Te 0.750 0.500 0.500
15 Ni 0.500 0.000 0.000
16 Ni 0.250 0.500 0.500

A plane-wave DFT calculation with PBE-GGA was carried out for CsThNiSe3 after structural relaxation.

Magnetization   1.6 Bohr magnetons per cell
Formation energy without anion corrections   -1.260 eV per atom
DOS(E_F)   4.3 states/eV/f.u.

a = 4.190 Å, b = 9.914 Å, c = 10.099 Å
α = 112.66°, β = 90.00°, γ = 90.00°
Each line ends with the local moment (μB).
Element x y z (fractional)
1 Ni 0.250 0.083 0.586  0.64
2 Ni 0.750 0.917 0.414  0.64
3 Se 0.250 0.119 0.847  0.02
4 Se 0.750 0.471 0.153  0.00
5 Se 0.750 0.881 0.153  0.02
6 Se 0.250 0.529 0.847  0.00
7 Se 0.250 0.821 0.475  0.08
8 Se 0.750 0.179 0.525  0.08
9 Cs 0.250 0.211 0.246  0.00
10 Cs 0.750 0.789 0.754  0.00
11 Th 0.250 0.689 0.168  0.01
12 Th 0.750 0.311 0.832  0.01

A plane-wave DFT calculation with PBE-GGA was carried out for Cs4Th3NiSe8 after structural relaxation.

Magnetization   0.8 Bohr magnetons per cell
Formation energy without anion corrections   -1.307 eV per atom
DOS(E_F)   9.2 states/eV/f.u.

a = 8.429 Å, b = 9.788 Å, c = 8.731 Å
α = 116.70°, β = 118.86°, γ = 90.00°
Each line ends with the local moment (μB).
Element x y z (fractional)
1 Se 0.743 0.671 0.952  0.02
2 Se 0.728 0.695 0.456  0.00
3 Se 0.257 0.329 0.048  0.02
4 Se 0.792 0.329 0.048  0.02
5 Se 0.247 0.701 0.494  0.01
6 Se 0.753 0.299 0.506  0.01
7 Se 0.272 0.305 0.544  0.00
8 Se 0.208 0.671 0.952  0.02
9 Cs 0.500 0.000 0.500  0.00
10 Cs 0.500 0.000 0.000  0.00
11 Cs 0.000 0.000 0.500  0.00
12 Cs 0.000 0.000 0.000  0.00
13 Th 0.000 0.500 0.500  -0.01
14 Th 0.500 0.500 0.000  -0.01
15 Th 0.500 0.500 0.500  -0.01
16 Ni 0.000 0.500 0.000  0.77

A plane-wave DFT calculation with PBE-GGA was carried out for CsTiNiSe4 after structural relaxation.

Magnetization   0.0 Bohr magnetons per cell
Formation energy without anion corrections   -0.708 eV per atom
DOS(E_F)   6.0 states/eV/f.u.

a = 6.455 Å, b = 5.860 Å, c = 10.009 Å
α = 90.00°, β = 107.56°, γ = 90.00°
Element x y z (fractional)
1 Ni 0.273 0.750 0.344
2 Ni 0.727 0.250 0.656
3 Cs 0.782 0.750 0.953
4 Cs 0.218 0.250 0.047
5 Se 0.445 0.750 0.581
6 Se 0.996 0.003 0.337
7 Se 0.482 0.750 0.195
8 Se 0.996 0.497 0.337
9 Se 0.004 0.997 0.663
10 Se 0.004 0.503 0.663
11 Se 0.518 0.250 0.805
12 Se 0.555 0.250 0.419
13 Ti 0.736 0.750 0.446
14 Ti 0.264 0.250 0.554

A plane-wave DFT calculation with PBE-GGA was carried out for CsUNiSe4 after structural relaxation.

Magnetization   0.4 Bohr magnetons per cell
Formation energy without anion corrections   -0.904 eV per atom
DOS(E_F)   5.7 states/eV/f.u.

a = 6.771 Å, b = 5.964 Å, c = 9.934 Å
α = 90.00°, β = 105.72°, γ = 90.00°
Each line ends with the local moment (μB).
Element x y z (fractional)
1 Se 0.985 0.490 0.311  0.05
2 Se 0.436 0.750 0.591  0.08
3 Se 0.547 0.250 0.798  0.09
4 Se 0.564 0.250 0.409  0.08
5 Se 0.015 0.510 0.689  0.05
6 Se 0.015 0.990 0.689  0.05
7 Se 0.985 0.010 0.311  0.05
8 Se 0.453 0.750 0.202  0.09
9 U 0.261 0.250 0.550  -0.98
10 U 0.739 0.750 0.450  -0.98
11 Cs 0.237 0.250 0.045  0.01
12 Cs 0.763 0.750 0.955  0.01
13 Ni 0.249 0.750 0.362  0.40
14 Ni 0.751 0.250 0.638  0.40

A plane-wave DFT calculation with PBE-GGA was carried out for CsU4Ni3Se12 after structural relaxation.

Magnetization   6.9 Bohr magnetons per cell
Formation energy without anion corrections   -0.698 eV per atom
DOS(E_F)   23.6 states/eV/f.u.

a = 8.795 Å, b = 8.795 Å, c = 8.795 Å
α = 109.47°, β = 109.47°, γ = 109.47°
Each line ends with the local moment (μB).
Element x y z (fractional)
1 Se 0.165 0.329 0.837  -0.06
2 Se 0.835 0.671 0.163  -0.06
3 Se 0.671 0.163 0.835  -0.06
4 Se 0.837 0.508 0.671  -0.06
5 Se 0.492 0.329 0.163  -0.06
6 Se 0.163 0.492 0.329  -0.06
7 Se 0.508 0.671 0.837  -0.06
8 Se 0.163 0.835 0.671  -0.06
9 Se 0.329 0.837 0.165  -0.06
10 Se 0.329 0.163 0.492  -0.06
11 Se 0.837 0.165 0.329  -0.06
12 Se 0.671 0.837 0.508  -0.06
13 Ni 0.000 0.500 0.500  0.20
14 Ni 0.500 0.000 0.500  0.20
15 Ni 0.500 0.500 0.000  0.20
16 U 0.000 0.000 0.500  1.70
17 U 0.500 0.000 0.000  1.70
18 U 0.500 0.500 0.500  1.70
19 U 0.000 0.500 0.000  1.70
20 Cs 0.000 0.000 0.000  0.00

A plane-wave DFT calculation with PBE-GGA was carried out for CsVNiSe3 after structural relaxation.

Magnetization   0.7 Bohr magnetons per cell
Formation energy without anion corrections   -0.752 eV per atom
DOS(E_F)   3.5 states/eV/f.u.

a = 3.709 Å, b = 9.125 Å, c = 10.059 Å
α = 119.62°, β = 90.00°, γ = 90.00°
Each line ends with the local moment (μB).
Element x y z (fractional)
1 Se 0.750 0.877 0.146  -0.05
2 Se 0.750 0.484 0.125  -0.06
3 Se 0.250 0.516 0.875  -0.06
4 Se 0.750 0.219 0.560  -0.06
5 Se 0.250 0.781 0.440  -0.06
6 Se 0.250 0.123 0.854  -0.05
7 Cs 0.750 0.744 0.737  0.00
8 Cs 0.250 0.256 0.263  0.00
9 Ni 0.250 0.087 0.607  -0.32
10 Ni 0.750 0.913 0.393  -0.32
11 V 0.250 0.706 0.172  0.85
12 V 0.750 0.294 0.828  0.85

A plane-wave DFT calculation with PBE-GGA was carried out for CsZrNi2Se after structural relaxation.

Magnetization   0.0 Bohr magnetons per cell
Formation energy without anion corrections   1.094 eV per atom
DOS(E_F)   5.8 states/eV/f.u.

a = 4.781 Å, b = 6.671 Å, c = 4.781 Å
α = 90.00°, β = 90.00°, γ = 90.00°
Element x y z (fractional)
1 Cs 0.000 0.500 0.000
2 Ni 0.500 0.000 0.000
3 Ni 0.000 0.000 0.500
4 Se 0.500 0.500 0.500
5 Zr 0.000 0.000 0.000

A plane-wave DFT calculation with PBE-GGA was carried out for Cs3Zr3NiSe8 after structural relaxation.

Magnetization   0.0 Bohr magnetons per cell
Formation energy without anion corrections   -1.135 eV per atom
DOS(E_F)   4.6 states/eV/f.u.

a = 7.581 Å, b = 8.035 Å, c = 9.810 Å
α = 116.74°, β = 90.00°, γ = 118.15°
Element x y z (fractional)
1 Cs 0.000 0.000 0.000
2 Cs 0.500 0.500 0.000
3 Cs 0.000 0.500 0.000
4 Zr 0.500 0.000 0.500
5 Zr 0.000 0.500 0.500
6 Zr 0.500 0.500 0.500
7 Se 0.281 0.562 0.712
8 Se 0.199 0.955 0.658
9 Se 0.755 0.955 0.658
10 Se 0.245 0.045 0.342
11 Se 0.727 0.454 0.685
12 Se 0.273 0.546 0.315
13 Se 0.801 0.045 0.342
14 Se 0.719 0.438 0.288
15 Ni 0.000 0.000 0.500

A plane-wave DFT calculation with PBE-GGA was carried out for CsZrNiSe3 after structural relaxation.

Magnetization   0.8 Bohr magnetons per cell
Formation energy without anion corrections   -1.102 eV per atom
DOS(E_F)   4.3 states/eV/f.u.

a = 3.885 Å, b = 9.586 Å, c = 10.077 Å
α = 117.00°, β = 90.00°, γ = 90.00°
Each line ends with the local moment (μB).
Element x y z (fractional)
1 Zr 0.250 0.692 0.164  -0.01
2 Zr 0.750 0.308 0.836  -0.01
3 Se 0.750 0.480 0.148  0.01
4 Se 0.750 0.194 0.539  0.04
5 Se 0.250 0.520 0.852  0.01
6 Se 0.750 0.877 0.146  0.01
7 Se 0.250 0.123 0.854  0.01
8 Se 0.250 0.806 0.461  0.04
9 Cs 0.250 0.231 0.251  0.00
10 Cs 0.750 0.769 0.749  0.00
11 Ni 0.750 0.912 0.402  0.30
12 Ni 0.250 0.088 0.598  0.30

A plane-wave DFT calculation with PBE-GGA was carried out for CsSiNi after structural relaxation.

Magnetization   0.0 Bohr magnetons per cell
Formation energy without anion corrections   -0.121 eV per atom
DOS(E_F)   1.9 states/eV/f.u.

a = 4.211 Å, b = 9.059 Å, c = 11.612 Å
α = 90.00°, β = 90.00°, γ = 90.00°
Element x y z (fractional)
1 Si 0.075 0.923 0.981
2 Si 0.575 0.077 0.019
3 Si 0.575 0.577 0.981
4 Si 0.075 0.423 0.019
5 Ni 0.575 0.830 0.980
6 Ni 0.075 0.170 0.020
7 Ni 0.075 0.670 0.980
8 Ni 0.575 0.330 0.020
9 Cs 0.579 0.503 0.287
10 Cs 0.079 0.997 0.287
11 Cs 0.079 0.497 0.713
12 Cs 0.579 0.003 0.713

A plane-wave DFT calculation with PBE-GGA was carried out for Cs3SiNi after structural relaxation.

Magnetization   2.7 Bohr magnetons per cell
Formation energy without anion corrections   0.813 eV per atom
DOS(E_F)   4.2 states/eV/f.u.

a = 6.046 Å, b = 6.046 Å, c = 6.046 Å
α = 90.00°, β = 90.00°, γ = 90.00°
Each line ends with the local moment (μB).
Element x y z (fractional)
1 Cs 0.000 0.500 0.000  0.03
2 Cs 0.500 0.000 0.000  0.04
3 Cs 0.000 0.000 0.500  0.03
4 Ni 0.000 0.000 0.000  0.19
5 Si 0.500 0.500 0.500  0.54